Record 1
ZrRuW2 at its PBEsol-relaxed geometry. Source: Alexandria via LeMat-Bulk, functional SCAN.

a b c (Å): 3.1790 3.1790 6.4402
angles (deg): 90.00 90.00 90.00
With the nearest neighbours (Å) after each atom.
Positions (direct):
Zr 0.0000 0.0000 0.0000  4 Ru 2.78, 4 W 2.85
Ru 0.5000 0.5000 0.2530  5 W 2.75-3.05, 4 Zr 2.78
W 0.0000 0.0000 0.5000  4 W 2.68, 4 Ru 2.75
W 0.5000 0.5000 0.7269  4 W 2.68, 4 Zr 2.85

Total magnetic moment ... 0.0 μB/cell
Energy of formation ... -0.1241 eV per atom
Crystal system ... tetragonal
DOS(E_F) ... 0.30 states/eV/atom
SG ... P4mm



Record 2
Y2Ru3 at its PBEsol-relaxed geometry. Source: Alexandria via LeMat-Bulk, functional SCAN.

a b c (Å): 8.0197 5.5136 8.9494
angles (deg): 62.10 37.42 80.48
With the nearest neighbours (Å) after each atom.
Positions (direct):
Y 0.1190 0.8810 0.2852  6 Ru 2.85-3.11
Y 0.5352 0.9648 0.3690  6 Ru 2.85-3.11
Y 0.8810 0.1190 0.7148  6 Ru 2.85-3.11
Y 0.9648 0.5352 0.1310  6 Ru 2.85-3.11
Ru 0.2544 0.2544 0.7456  4 Ru 2.43
Ru 0.4422 0.5239 0.3032  2 Ru 2.43
Ru 0.5044 0.5044 0.9956  4 Ru 2.43
Ru 0.5192 0.9468 0.7261  2 Ru 2.43
Ru 0.5239 0.4422 0.7308  2 Ru 2.43
Ru 0.9468 0.5192 0.8078  2 Ru 2.43

Total magnetic moment ... 0.0 μB/cell
Energy of formation ... -0.3153 eV per atom
Crystal system ... orthorhombic
DOS(E_F) ... 0.80 states/eV/atom
SG ... Fdd2



Record 3
YRu2 at its PBEsol-relaxed geometry. Source: Alexandria via LeMat-Bulk, functional SCAN.

a b c (Å): 4.0893 4.0893 4.1404
angles (deg): 90.00 90.00 120.00
With the nearest neighbours (Å) after each atom.
Positions (direct):
Y 0.0000 0.0000 0.0000  12 Ru 3.14
Ru 0.3333 0.6667 0.5000  3 Ru 2.36
Ru 0.6667 0.3333 0.5000  3 Ru 2.36

Total magnetic moment ... 0.0 μB/cell
Energy of formation ... -0.1387 eV per atom
Crystal system ... hexagonal
DOS(E_F) ... 0.75 states/eV/atom
SG ... P6/mmm



Record 4
Y5Ru at its PBEsol-relaxed geometry. Source: Alexandria via LeMat-Bulk, functional SCAN.

a b c (Å): 3.4219 3.4219 13.8083
angles (deg): 90.00 90.00 90.00
With the nearest neighbours (Å) after each atom.
Positions (direct):
Y 0.0000 0.0000 0.0000  12 Y 3.42-3.49
Y 0.0000 0.0000 0.3830  4 Ru 2.91, 1 Y 3.23
Y 0.0000 0.0000 0.6170  4 Ru 2.91, 1 Y 3.23
Y 0.5000 0.5000 0.1817  12 Y 3.42-3.69
Y 0.5000 0.5000 0.8183  12 Y 3.42-3.69
Ru 0.5000 0.5000 0.5000  8 Y 2.91

Total magnetic moment ... 0.0 μB/cell
Energy of formation ... -0.1383 eV per atom
Crystal system ... tetragonal
DOS(E_F) ... 0.96 states/eV/atom
SG ... P4/mmm



Short version: density = 14.3 8.1 8.1 5.6 Mg/m³, in the order given.
Short version: volume = 16.27 19.62 19.99 26.95 Å³/atom, in the order given.